[1]
# BaTcIr

BaTcIr after structural relaxation (PBE, the Alexandria database).

a b c (Å): 5.2292 6.4337 4.5234
angles (deg): 69.42 90.00 90.00
With the nearest neighbours (Å) after each atom.
Sites, in units of the cell vectors:
Ir 0.3362 0.2050 0.2130  4 Tc 2.65, 2 Ir 2.75
Ir 0.8362 0.0629 0.2841  4 Tc 2.65, 2 Ir 2.75
Ba 0.8361 0.5681 0.0315  2 Ir 3.04-3.41
Ba 0.3361 0.6998 0.4656  2 Ir 3.04-3.41
Tc 0.5859 0.1339 0.7486  2 Tc 2.61, 4 Ir 2.65
Tc 0.0859 0.1340 0.7485  2 Tc 2.61, 4 Ir 2.65

Values from the calculation:
- ΔE to the lowest computed polymorph (meV per atom) = 84
- space group = Cmcm, No. 63
- uncorrected energy (eV/atom) = -6.88
- formation energy from the elements (eV per formula unit) = 0.50

=====

[2]
# Sr3As4Ir2

Sr3As4Ir2 after structural relaxation (PBE, the Alexandria database).

a b c (Å): 4.3900 6.3855 8.8839
angles (deg): 111.42 90.00 110.11
With the nearest neighbours (Å) after each atom.
Sites, in units of the cell vectors:
Sr 0.6192 0.2384 0.7072  5 As 3.08-3.32, 3 Ir 3.40-3.41
Sr 0.0000 0.0000 0.0000  6 As 3.14-3.22
Sr 0.3808 0.7616 0.2928  5 As 3.08-3.32, 3 Ir 3.40-3.41
As 0.7034 0.4068 0.0987  1 Ir 2.51
As 0.2966 0.5932 0.9013  1 Ir 2.51
As 0.8944 0.7888 0.6072  3 Ir 2.47
As 0.1056 0.2112 0.3928  3 Ir 2.47
Ir 0.6955 0.3910 0.3768  4 As 2.47-2.51
Ir 0.3045 0.6090 0.6232  4 As 2.47-2.51

Values from the calculation:
- space group = C2/m, No. 12
- uncorrected energy (eV/atom) = -5.36
- formation energy from the elements (eV per formula unit) = -6.90